Record 1
LaMnSe2 | Alexandria via LeMat-Bulk | PBE | relaxed; raw formation energy = -1.0249 eV/atom; Fermi-level density of states = 1.90 states/eV/f.u.; theoretical density = 6308 kg/m³
1.0
-1.665 -4.923 0.582
1.912 -0.478 4.843
-3.596 3.174 -2.083
La Mn Se
1 1 2
direct
0.750 0.250 0.500
0.250 0.750 0.500
0.040 0.040 0.000
0.460 0.460 0.000


Record 2
LaMnSe2 | Alexandria via LeMat-Bulk | PBE | relaxed; raw formation energy = -1.1290 eV/atom; Fermi-level density of states = 1.04 states/eV/f.u.; theoretical density = 5811 kg/m³
1.0
-2.231 6.780 -2.112
-2.743 -1.641 -2.370
-8.653 -0.676 10.484
La Mn Se
4 4 8
direct
0.482 0.000 0.970
0.482 0.500 0.470
0.945 0.000 0.764
0.945 0.500 0.264
0.316 0.000 0.671
0.316 0.500 0.171
0.068 0.000 0.479
0.068 0.500 0.979
0.760 0.000 0.383
0.760 0.500 0.883
0.114 0.000 0.095
0.114 0.500 0.595
0.261 0.000 0.331
0.261 0.500 0.831
0.620 0.000 0.624
0.620 0.500 0.124


Record 3
LaMnSiSe2 | Alexandria via LeMat-Bulk | PBE | relaxed; raw formation energy = 1.1064 eV/atom; Fermi-level density of states = 6.24 states/eV/f.u.; theoretical density = 3526 kg/m³
1.0
5.641 0.000 0.000
0.000 5.621 0.000
0.000 0.000 5.641
Si Mn Se La
1 1 2 1
direct
0.000 0.500 0.000
0.500 0.500 0.500
0.000 0.000 0.500
0.500 0.000 0.000
0.000 0.000 0.000